# Sc2CrF

Sc2CrF after structural relaxation (PBE+U, the Alexandria database).

Geometry as CIF:
```
data_Sc2CrF
_symmetry_space_group_name_H-M 'R -3 m'
_symmetry_Int_Tables_number 166
_symmetry_space_group_name_Hall '-R 3 2"'
_cell_length_a 3.3125
_cell_length_b 3.3125
_cell_length_c 26.1779
_cell_angle_alpha 90.00
_cell_angle_beta 90.00
_cell_angle_gamma 120.00
loop_
_atom_site_label
_atom_site_type_symbol
_atom_site_fract_x
_atom_site_fract_y
_atom_site_fract_z
_atom_site_occupancy
Sc1 Sc 0.0000 0.0000 0.0776 1
Cr1 Cr 0.0000 0.0000 0.5000 1
F1 F 0.0000 0.0000 0.0000 1
```

Properties
E above lowest polymorph (meV per atom): 0.0
Crystal system: trigonal
Volume (Å³/atom): 20.730